[1]
The following is a PBE calculation of crystalline Th2Tl3NiSe6 at its relaxed geometry, from the Alexandria database.

The structure in POSCAR format:
```
Th2Tl3NiSe6
1.0
7.169 0.010 -0.005
-3.574 6.215 -0.005
-1.205 -2.086 7.896
Tl Se Th Ni
3 6 2 1
Direct
0.500 0.500 0.500
0.828 0.172 0.500
0.172 0.828 0.500
0.748 0.748 0.206
0.934 0.620 0.802
0.066 0.380 0.198
0.620 0.934 0.802
0.380 0.066 0.198
0.252 0.252 0.794
0.334 0.666 0.000
0.666 0.334 0.000
0.000 0.000 0.000
```

## Properties
The calculation puts the spin magnetization at 1.0 μB/cell. The total energy comes out at -4.98 eV per atom.

---

[2]
The following is a PBE calculation of crystalline NbPdCl2 at its relaxed geometry, from the Alexandria database.

The structure in POSCAR format:
```
NbPdCl2
1.0
4.373 0.864 0.739
1.437 0.978 4.171
2.538 -2.971 2.270
Cl Nb Pd
2 1 1
Direct
0.250 0.250 0.250
0.750 0.750 0.750
0.000 0.000 0.000
0.500 0.500 0.500
```

## Properties
The calculation puts the spin magnetization at 0.0 μB/cell. The energy above the most stable polymorph in this dataset is 542 meV/atom.

---

Please write out number 2 again, unchanged.
The following is a PBE calculation of crystalline NbPdCl2 at its relaxed geometry, from the Alexandria database.

The structure in POSCAR format:
```
NbPdCl2
1.0
4.373 0.864 0.739
1.437 0.978 4.171
2.538 -2.971 2.270
Cl Nb Pd
2 1 1
Direct
0.250 0.250 0.250
0.750 0.750 0.750
0.000 0.000 0.000
0.500 0.500 0.500
```

## Properties
The calculation puts the spin magnetization at 0.0 μB/cell. The energy above the most stable polymorph in this dataset is 542 meV/atom.

---

> Which of these has the highest spin magnetization?

Th2Tl3NiSe6

---

> spin magnetization of number 2 (NbPdCl2)?

0.0 μB/cell